(1)
! SrZr2Tl PBE optimized geometry; values from VASP
! * space-group type: No. 122
! * DOS at the Fermi energy: 29.893 states/eV per cell
! * energy of formation from the pure elements: 2.0 eV/f.u.
&SYSTEM
  ibrav = 0, nat = 16, ntyp = 3
/
ATOMIC_SPECIES
Sr 87.62 Sr.upf
Zr 91.22 Zr.upf
Tl 204.38 Tl.upf
CELL_PARAMETERS angstrom
4.484 0.000 0.000
0.000 4.484 0.000
0.000 0.000 22.634
ATOMIC_POSITIONS crystal
Sr 0.000 0.000 0.000
Sr 0.000 0.500 0.250
Sr 0.500 0.000 0.750
Sr 0.500 0.500 0.500
Zr 0.227 0.250 0.625
Zr 0.250 0.727 0.875
Zr 0.250 0.773 0.375
Zr 0.273 0.250 0.125
Zr 0.727 0.750 0.125
Zr 0.750 0.227 0.375
Zr 0.750 0.273 0.875
Zr 0.773 0.750 0.625
Tl 0.000 0.000 0.500
Tl 0.000 0.500 0.750
Tl 0.500 0.000 0.250
Tl 0.500 0.500 0.000

=====

(2)
! Li7ZrO6 PBE optimized geometry; values from VASP
! * space-group type: No. 146
! * formation energy from raw total energies: -2.058 eV/atom
! * DOS at the Fermi energy: 10.238 states/eV per cell
&SYSTEM
  ibrav = 0, nat = 14, ntyp = 3
/
ATOMIC_SPECIES
Li 6.94 Li.upf
Zr 91.22 Zr.upf
O 16.00 O.upf
CELL_PARAMETERS angstrom
2.838 1.638 5.080
-2.838 1.638 5.080
0.000 -3.277 5.080
ATOMIC_POSITIONS crystal
Li 0.000 0.000 0.000
Li 0.157 0.922 0.527
Li 0.160 0.422 0.724
Li 0.422 0.724 0.160
Li 0.527 0.157 0.922
Li 0.724 0.160 0.422
Li 0.922 0.527 0.157
Zr 0.652 0.652 0.652
O 0.022 0.771 0.413
O 0.265 0.580 0.855
O 0.413 0.022 0.771
O 0.580 0.855 0.265
O 0.771 0.413 0.022
O 0.855 0.265 0.580

=====

(3)
! TaAl2W PBE optimized geometry; values from VASP
! * space-group type: No. 122
! * DOS at the Fermi energy: 10.841 states/eV per cell
! * energy of formation from the pure elements: 2.0 eV/f.u.
&SYSTEM
  ibrav = 0, nat = 16, ntyp = 3
/
ATOMIC_SPECIES
Ta 180.95 Ta.upf
Al 26.98 Al.upf
W 183.84 W.upf
CELL_PARAMETERS angstrom
7.091 0.000 0.000
0.000 7.091 0.000
0.000 0.000 5.507
ATOMIC_POSITIONS crystal
Ta 0.000 0.000 0.000
Ta 0.000 0.500 0.250
Ta 0.500 0.000 0.750
Ta 0.500 0.500 0.500
Al 0.241 0.750 0.625
Al 0.250 0.241 0.375
Al 0.250 0.259 0.875
Al 0.259 0.750 0.125
Al 0.741 0.250 0.125
Al 0.750 0.741 0.875
Al 0.750 0.759 0.375
Al 0.759 0.250 0.625
W 0.000 0.000 0.500
W 0.000 0.500 0.750
W 0.500 0.000 0.250
W 0.500 0.500 0.000

=====

(4)
! Ti2Sb2Ru PBE optimized geometry; values from VASP
! * space-group type: No. 139
! * formation energy from raw total energies: 0.409 eV/atom
! * DOS at the Fermi energy: 10.831 states/eV per cell
&SYSTEM
  ibrav = 0, nat = 10, ntyp = 3
/
ATOMIC_SPECIES
Ti 47.87 Ti.upf
Sb 121.76 Sb.upf
Ru 101.07 Ru.upf
CELL_PARAMETERS angstrom
3.478 0.000 0.000
0.000 3.478 0.000
0.000 0.000 16.173
ATOMIC_POSITIONS crystal
Ti 0.000 0.500 0.250
Ti 0.000 0.500 0.750
Ti 0.500 0.000 0.250
Ti 0.500 0.000 0.750
Sb 0.000 0.000 0.097
Sb 0.000 0.000 0.903
Sb 0.500 0.500 0.403
Sb 0.500 0.500 0.597
Ru 0.000 0.000 0.500
Ru 0.500 0.500 0.000

=====

(5)
! Tb6PmSc8 PBE optimized geometry; values from VASP
! * space-group type: No. 148
! * DOS at the Fermi energy: 25.610 states/eV per cell
! * energy of formation from the pure elements: 3.0 eV/f.u.
&SYSTEM
  ibrav = 0, nat = 15, ntyp = 3
/
ATOMIC_SPECIES
Tb 158.93 Tb.upf
Pm 145.00 Pm.upf
Sc 44.96 Sc.upf
CELL_PARAMETERS angstrom
4.610 2.662 5.761
-4.610 2.662 5.761
0.000 -5.324 5.761
ATOMIC_POSITIONS crystal
Tb 0.172 0.434 0.619
Tb 0.381 0.828 0.566
Tb 0.434 0.619 0.172
Tb 0.566 0.381 0.828
Tb 0.619 0.172 0.434
Tb 0.828 0.566 0.381
Pm 0.000 0.000 0.000
Sc 0.047 0.873 0.378
Sc 0.127 0.622 0.953
Sc 0.233 0.233 0.233
Sc 0.378 0.047 0.873
Sc 0.622 0.953 0.127
Sc 0.767 0.767 0.767
Sc 0.873 0.378 0.047
Sc 0.953 0.127 0.622

=====

(6)
! Tb2PmHoSe5 PBE optimized geometry; values from VASP
! * space-group type: No. 123
! * formation energy from raw total energies: -1.160 eV/atom
! * DOS at the Fermi energy: 4.982 states/eV per cell
&SYSTEM
  ibrav = 0, nat = 9, ntyp = 4
/
ATOMIC_SPECIES
Tb 158.93 Tb.upf
Pm 145.00 Pm.upf
Ho 164.93 Ho.upf
Se 78.96 Se.upf
CELL_PARAMETERS angstrom
5.121 0.000 0.000
0.000 5.121 0.000
0.000 0.000 10.926
ATOMIC_POSITIONS crystal
Tb 0.000 0.000 0.157
Tb 0.000 0.000 0.843
Pm 0.500 0.500 0.500
Ho 0.500 0.500 0.000
Se 0.000 0.000 0.500
Se 0.000 0.500 0.000
Se 0.500 0.000 0.000
Se 0.500 0.500 0.249
Se 0.500 0.500 0.751

=====

(7)
! Nd3Ag2Pd4 PBE optimized geometry; values from VASP
! * space-group type: No. 15
! * DOS at the Fermi energy: 8.336 states/eV per cell
! * energy of formation from the pure elements: -4.8 eV/f.u.
&SYSTEM
  ibrav = 0, nat = 18, ntyp = 3
/
ATOMIC_SPECIES
Nd 144.24 Nd.upf
Ag 107.87 Ag.upf
Pd 106.42 Pd.upf
CELL_PARAMETERS angstrom
5.618 -5.161 0.000
5.618 5.161 0.000
-1.895 0.000 7.150
ATOMIC_POSITIONS crystal
Nd 0.093 0.907 0.750
Nd 0.239 0.475 0.378
Nd 0.475 0.239 0.878
Nd 0.525 0.761 0.122
Nd 0.761 0.525 0.622
Nd 0.907 0.093 0.250
Ag 0.010 0.686 0.057
Ag 0.314 0.990 0.443
Ag 0.686 0.010 0.557
Ag 0.990 0.314 0.943
Pd 0.092 0.258 0.604
Pd 0.248 0.551 0.822
Pd 0.258 0.092 0.104
Pd 0.449 0.752 0.678
Pd 0.551 0.248 0.322
Pd 0.742 0.908 0.896
Pd 0.752 0.449 0.178
Pd 0.908 0.742 0.396

=====

(8)
! Ac2BO5 PBE optimized geometry; values from VASP
! * space-group type: No. 1
! * formation energy from raw total energies: -2.734 eV/atom
&SYSTEM
  ibrav = 0, nat = 8, ntyp = 3
/
ATOMIC_SPECIES
Ac 227.00 Ac.upf
B 10.81 B.upf
O 16.00 O.upf
CELL_PARAMETERS angstrom
5.004 0.000 0.000
-2.133 4.535 0.000
-2.283 -1.682 5.888
ATOMIC_POSITIONS crystal
Ac 0.000 0.000 0.000
Ac 0.021 0.491 0.513
B 0.465 0.212 0.679
O 0.055 0.538 0.151
O 0.152 0.068 0.666
O 0.595 0.516 0.672
O 0.613 0.107 0.150
O 0.615 0.048 0.658

=====

(9)
! NaLaTb2Te4 PBE optimized geometry; values from VASP
! * space-group type: No. 10
! * formation energy from raw total energies: -1.391 eV/atom
! * DOS at the Fermi energy: 3.037 states/eV per cell
&SYSTEM
  ibrav = 0, nat = 8, ntyp = 4
/
ATOMIC_SPECIES
Na 22.99 Na.upf
La 138.91 La.upf
Tb 158.93 Tb.upf
Te 127.60 Te.upf
CELL_PARAMETERS angstrom
7.709 0.000 0.000
0.000 4.424 0.000
-2.538 0.000 7.412
ATOMIC_POSITIONS crystal
Na 0.000 0.000 0.000
La 0.500 0.500 0.000
Tb 0.000 0.500 0.500
Tb 0.500 0.000 0.500
Te 0.242 0.000 0.739
Te 0.251 0.500 0.261
Te 0.749 0.500 0.739
Te 0.758 0.000 0.261

=====

(10)
! PrZnRu PBE optimized geometry; values from VASP
! * space-group type: No. 187
! * DOS at the Fermi energy: 2.735 states/eV per cell
! * energy of formation from the pure elements: -0.5 eV/f.u.
&SYSTEM
  ibrav = 0, nat = 3, ntyp = 3
/
ATOMIC_SPECIES
Pr 140.91 Pr.upf
Zn 65.41 Zn.upf
Ru 101.07 Ru.upf
CELL_PARAMETERS angstrom
4.393 0.000 0.000
-2.196 3.804 0.000
0.000 0.000 3.847
ATOMIC_POSITIONS crystal
Pr 0.000 0.000 0.000
Zn 0.333 0.667 0.500
Ru 0.667 0.333 0.500

=====

(11)
! RbZr2W PBE optimized geometry; values from VASP
! * space-group type: No. 225
! * DOS at the Fermi energy: 25.578 states/eV per cell
! * energy of formation from the pure elements: 5.0 eV/f.u.
&SYSTEM
  ibrav = 0, nat = 16, ntyp = 3
/
ATOMIC_SPECIES
Rb 85.47 Rb.upf
Zr 91.22 Zr.upf
W 183.84 W.upf
CELL_PARAMETERS angstrom
7.144 0.000 0.000
0.000 7.144 0.000
0.000 0.000 7.144
ATOMIC_POSITIONS crystal
Rb 0.000 0.000 0.000
Rb 0.000 0.500 0.500
Rb 0.500 0.000 0.500
Rb 0.500 0.500 0.000
Zr 0.250 0.250 0.250
Zr 0.250 0.250 0.750
Zr 0.250 0.750 0.250
Zr 0.250 0.750 0.750
Zr 0.750 0.250 0.250
Zr 0.750 0.250 0.750
Zr 0.750 0.750 0.250
Zr 0.750 0.750 0.750
W 0.000 0.000 0.500
W 0.000 0.500 0.000
W 0.500 0.000 0.000
W 0.500 0.500 0.500

=====

(12)
! Re2PtRhO PBE optimized geometry; values from VASP
! * space-group type: No. 123
! * formation energy from raw total energies: 0.532 eV/atom
! * DOS at the Fermi energy: 7.689 states/eV per cell
&SYSTEM
  ibrav = 0, nat = 5, ntyp = 4
/
ATOMIC_SPECIES
Re 186.21 Re.upf
Pt 195.08 Pt.upf
Rh 102.91 Rh.upf
O 16.00 O.upf
CELL_PARAMETERS angstrom
4.005 0.000 0.000
0.000 4.005 0.000
0.000 0.000 4.363
ATOMIC_POSITIONS crystal
Re 0.000 0.500 0.000
Re 0.500 0.000 0.000
Pt 0.000 0.000 0.500
Rh 0.500 0.500 0.500
O 0.000 0.000 0.000

=====

no.,total moment (Bohr magnetons per cell)
1,0.012
2,1.087
3,0.000
4,0.001
5,0.004
6,0.002
7,0.000
8,1.000
9,0.000
10,0.000
11,0.000
12,0.713